# 1
# Hg2BTe2

A relaxed Hg2BTe2 crystal (GGA-PBE, Alexandria via LeMat-Bulk).

Unit cell a=4.1707 b=4.1707 c=18.3213 alpha=90.00 beta=90.00 gamma=90.00
With the nearest neighbours (Å) after each atom.
Space group I4/mmm (No. 139)
Symmetry-distinct sites (fractional):
1 Hg 0.0000 0.0000 0.0818 (multiplicity 4)  1 Hg 3.00, 4 B 3.31
2 B 0.0000 0.0000 0.5000 (multiplicity 2)  8 Hg 3.31
3 Te 0.0000 0.5000 0.2500 (multiplicity 4)  4 Te 2.95

Summary:
The polymorph energy (0 for the lowest one) is 0.5389 eV per atom. The raw formation energy comes out at 1066.4 meV/atom.

# 2
# CeNd6Y3

A relaxed CeNd6Y3 crystal (GGA-PBE, Alexandria via LeMat-Bulk).

Unit cell a=5.7391 b=10.1423 c=12.2778 alpha=90.00 beta=102.30 gamma=90.00
With the nearest neighbours (Å) after each atom.
Space group P2_1/c (No. 14)
Symmetry-distinct sites (fractional):
1 Ce 0.0000 0.0000 0.0000 (multiplicity 2)  4 Nd 3.16-3.19
2 Nd 0.0024 0.1858 0.4996 (multiplicity 4)  1 Ce 3.19, 3 Y 3.42-3.55
3 Nd 0.1140 0.5013 0.7633 (multiplicity 4)  1 Ce 3.16, 2 Y 3.26-3.53, 1 Nd 3.51
4 Nd 0.4147 0.1703 0.8519 (multiplicity 4)  4 Y 3.41-3.79, 4 Nd 3.51-3.77, 1 Ce 3.71
5 Y 0.4152 0.6655 0.3627 (multiplicity 4)  7 Nd 3.41-3.79, 2 Ce 3.61-3.81, 1 Y 3.77
6 Y 0.5000 0.0000 0.5000 (multiplicity 2)  6 Nd 3.26-3.45

Summary:
The calculation puts the formation energy at 0.22 eV/atom.

# 3
# Dy5ErTm3

A relaxed Dy5ErTm3 crystal (GGA-PBE, Alexandria via LeMat-Bulk).

Unit cell a=17.0275 b=7.5822 c=10.7359 alpha=90.00 beta=108.46 gamma=90.00
With the nearest neighbours (Å) after each atom.
Space group C2/c (No. 15)
Symmetry-distinct sites (fractional):
1 Dy 0.0000 0.2447 0.2500 (multiplicity 4)  4 Tm 3.30-3.31
2 Dy 0.1654 0.2480 0.0850 (multiplicity 8)  4 Tm 3.28-3.29
3 Dy 0.1668 0.2528 0.5803 (multiplicity 8)  4 Tm 3.28-3.30
4 Er 0.0000 0.2538 0.7500 (multiplicity 4)  4 Tm 3.27-3.29
5 Tm 0.0000 0.5000 0.0000 (multiplicity 4)  2 Er 3.27, 6 Dy 3.28-3.31
6 Tm 0.1671 0.0060 0.8330 (multiplicity 8)  7 Dy 3.28-3.30, 1 Er 3.29

Summary:
The calculation puts the formation energy at 0.72 eV/atom. The polymorph energy (0 for the lowest one) is 0.1944 eV per atom.

# 4
# Ir2WBr

A relaxed Ir2WBr crystal (GGA-PBE, Alexandria via LeMat-Bulk).

Unit cell a=2.8710 b=4.7115 c=4.7362 alpha=90.00 beta=90.00 gamma=90.00
With the nearest neighbours (Å) after each atom.
Space group Pmmm (No. 47)
Symmetry-distinct sites (fractional):
1 Ir 0.0000 0.0000 0.0000 (multiplicity 1)  4 Br 2.76, 6 Ir 2.77-2.87
2 Ir 0.5000 0.0000 0.5000 (multiplicity 1)  4 W 2.76, 6 Ir 2.77-2.87
3 W 0.0000 0.5000 0.5000 (multiplicity 1)  4 Ir 2.76, 4 Br 2.77, 2 W 2.87
4 Br 0.5000 0.5000 0.0000 (multiplicity 1)  4 Ir 2.76, 4 W 2.77, 2 Br 2.87

Summary:
The polymorph energy (0 for the lowest one) is 0.6811 eV per atom. The raw formation energy comes out at 933.0 meV/atom.

# 5
# Tb7Dy12In

A relaxed Tb7Dy12In crystal (GGA-PBE, Alexandria via LeMat-Bulk).

Unit cell a=11.9637 b=11.9637 c=15.5198 alpha=90.00 beta=90.00 gamma=120.00
With the nearest neighbours (Å) after each atom.
Space group R-3 (No. 148, hexagonal axes)
Symmetry-distinct sites (fractional):
1 Tb 0.0000 0.0000 0.0000 (multiplicity 3)  6 Dy 3.21
2 Tb 0.0554 0.1874 0.2987 (multiplicity 18)  3 Tb 3.34-3.45, 6 Dy 3.49-3.74, 1 In 3.71
3 Dy 0.0337 0.4555 0.2127 (multiplicity 18)  5 Dy 3.27-3.50, 1 In 3.27, 2 Tb 3.54-3.60
4 Dy 0.0556 0.5846 0.5854 (multiplicity 18)  4 Dy 3.19-3.44, 2 Tb 3.21-3.49
5 In 0.0000 0.0000 0.5000 (multiplicity 3)  6 Dy 3.27

Summary:
The calculation puts the formation energy at 0.16 eV/atom.

# 6
# K3Pu2PdSe6

A relaxed K3Pu2PdSe6 crystal (GGA-PBE, Alexandria via LeMat-Bulk).

Unit cell a=7.0959 b=12.5032 c=8.0070 alpha=90.00 beta=106.70 gamma=90.00
With the nearest neighbours (Å) after each atom.
Space group C2/m (No. 12)
Symmetry-distinct sites (fractional):
1 K 0.0000 0.0000 0.0000 (multiplicity 2)  6 Se 3.30-3.47
2 K 0.0000 0.3359 0.0000 (multiplicity 4)  6 Se 3.26-3.32
3 Pu 0.0000 0.1678 0.5000 (multiplicity 4)  6 Se 2.83-2.89
4 Pd 0.0000 0.5000 0.5000 (multiplicity 2)  6 Se 2.62-2.87
5 Se 0.2354 0.3337 0.7053 (multiplicity 8)  2 Pu 2.83-2.87, 1 Pd 2.87
6 Se 0.2465 0.5000 0.3113 (multiplicity 4)  1 Pd 2.62, 2 Pu 2.89

Summary:
The raw formation energy comes out at -1128.6 meV/atom.

# 7
# ZnCr2Tc

A relaxed ZnCr2Tc crystal (GGA-PBE, Alexandria via LeMat-Bulk).

Unit cell a=3.0999 b=4.1312 c=4.1812 alpha=90.00 beta=90.00 gamma=90.00
With the nearest neighbours (Å) after each atom.
Space group Pmmm (No. 47)
Symmetry-distinct sites (fractional):
1 Zn 0.0000 0.0000 0.0000 (multiplicity 1)  4 Cr 2.58, 4 Tc 2.60
2 Cr 0.0000 0.5000 0.5000 (multiplicity 1)  4 Tc 2.58, 4 Cr 2.60
3 Cr 0.5000 0.5000 0.0000 (multiplicity 1)  4 Zn 2.58, 4 Cr 2.60
4 Tc 0.5000 0.0000 0.5000 (multiplicity 1)  4 Cr 2.58, 4 Zn 2.60

Summary:
The calculation puts the formation energy at 0.21 eV/atom.

# 8
# PrHo3Er4

A relaxed PrHo3Er4 crystal (GGA-PBE, Alexandria via LeMat-Bulk).

Unit cell a=11.2282 b=7.2433 c=6.2510 alpha=90.00 beta=90.00 gamma=90.00
With the nearest neighbours (Å) after each atom.
Space group Pmn2_1 (No. 31)
Symmetry-distinct sites (fractional):
1 Pr 0.0000 0.1264 0.0000 (multiplicity 2)  6 Ho 3.50-3.62, 6 Er 3.52-3.64
2 Ho 0.0000 0.8732 0.4999 (multiplicity 2)  6 Er 3.48-3.65, 4 Ho 3.50-3.51, 2 Pr 3.62
3 Ho 0.2499 0.1270 0.3346 (multiplicity 4)  6 Er 3.50-3.65, 2 Pr 3.50-3.51, 4 Ho 3.50-3.63
4 Er 0.0000 0.3774 0.5016 (multiplicity 2)  6 Er 3.47-3.60, 4 Ho 3.50-3.65, 2 Pr 3.61-3.62
5 Er 0.0000 0.6235 0.0007 (multiplicity 2)  6 Er 3.48-3.60, 4 Ho 3.50-3.62, 2 Pr 3.60-3.64
6 Er 0.2479 0.6231 0.3344 (multiplicity 4)  6 Er 3.47-3.60, 5 Ho 3.48-3.65, 1 Pr 3.52

Summary:
The calculation puts the formation energy at 0.01 eV/atom. The polymorph energy (0 for the lowest one) is 0.0000 eV per atom.

# 9
# K2PmInSe4

A relaxed K2PmInSe4 crystal (GGA-PBE, Alexandria via LeMat-Bulk).

Unit cell a=8.5869 b=8.8169 c=12.4643 alpha=90.00 beta=90.00 gamma=90.00
With the nearest neighbours (Å) after each atom.
Space group Imma (No. 74)
Symmetry-distinct sites (fractional):
1 K 0.0000 0.0000 0.0000 (multiplicity 4)  6 Se 3.21-3.25
2 K 0.2500 0.2500 0.2500 (multiplicity 4)  6 Se 3.29-3.32
3 Pm 0.0000 0.0000 0.5000 (multiplicity 4)  6 Se 2.96-3.02
4 In 0.2500 0.2500 0.7500 (multiplicity 4)  6 Se 2.85-2.95
5 Se 0.0000 0.0371 0.7408 (multiplicity 8)  2 In 2.85, 1 Pm 3.02
6 Se 0.2290 0.2500 0.5137 (multiplicity 8)  1 In 2.95, 2 Pm 2.96, 3 K 3.21-3.29

Summary:
The raw formation energy comes out at -1240.5 meV/atom.

# 10
# BaNaPm2Se4

A relaxed BaNaPm2Se4 crystal (GGA-PBE, Alexandria via LeMat-Bulk).

Unit cell a=8.7335 b=8.7337 c=12.3413 alpha=90.00 beta=90.00 gamma=90.00
With the nearest neighbours (Å) after each atom.
Space group Imma (No. 74)
Symmetry-distinct sites (fractional):
1 Ba 0.2500 0.2500 0.2500 (multiplicity 4)  6 Se 3.21
2 Na 0.0000 0.0000 0.0000 (multiplicity 4)  6 Se 3.15-3.16
3 Pm 0.0000 0.0000 0.5000 (multiplicity 4)  6 Se 3.02-3.03
4 Pm 0.2500 0.2500 0.7500 (multiplicity 4)  6 Se 2.96-2.97
5 Se 0.0000 0.0198 0.7448 (multiplicity 8)  3 Pm 2.97-3.03, 1 Na 3.15, 2 Ba 3.21
6 Se 0.2382 0.2500 0.5103 (multiplicity 8)  3 Pm 2.96-3.02, 2 Na 3.16, 1 Ba 3.21

Summary:
The raw formation energy comes out at -1794.1 meV/atom.

# 11
# TlCdIn2Au

A relaxed TlCdIn2Au crystal (GGA-PBE, Alexandria via LeMat-Bulk).

Unit cell a=5.3958 b=5.3958 c=5.3111 alpha=90.00 beta=90.00 gamma=90.00
With the nearest neighbours (Å) after each atom.
Space group P4/mmm (No. 123)
Symmetry-distinct sites (fractional):
1 Tl 0.0000 0.0000 0.0000 (multiplicity 1)  8 In 3.79, 4 Cd 3.82
2 Cd 0.5000 0.5000 0.0000 (multiplicity 1)  2 Au 2.66
3 In 0.0000 0.5000 0.5000 (multiplicity 2)  2 Au 2.70
4 Au 0.5000 0.5000 0.5000 (multiplicity 1)  2 Cd 2.66, 4 In 2.70

Summary:
The calculation puts the formation energy at 0.06 eV/atom.

# 12
# Na5Tl2Cd

A relaxed Na5Tl2Cd crystal (GGA-PBE, Alexandria via LeMat-Bulk).

Unit cell a=7.0454 b=14.1463 c=4.6465 alpha=90.00 beta=90.00 gamma=90.00
With the nearest neighbours (Å) after each atom.
Space group Pbam (No. 55)
Symmetry-distinct sites (fractional):
1 Na 0.0000 0.0000 0.0000 (multiplicity 2)  6 Na 3.37-3.61, 4 Tl 3.42, 2 Cd 3.52
2 Na 0.0148 0.2550 0.0000 (multiplicity 4)  7 Na 3.36-3.61, 4 Tl 3.43-3.56, 1 Cd 3.47
3 Na 0.2459 0.8786 0.5000 (multiplicity 4)  3 Tl 3.34-3.66, 6 Na 3.36-3.51, 2 Cd 3.40
4 Tl 0.2270 0.6140 0.5000 (multiplicity 4)  2 Cd 3.25, 8 Na 3.34-3.56
5 Cd 0.0000 0.5000 0.0000 (multiplicity 2)  4 Tl 3.25, 8 Na 3.40-3.52

Summary:
The calculation puts the formation energy at -0.08 eV/atom.

no.,final energy (eV/atom)
1,-1.65
2,-5.18
3,-3.84
4,-7.15
5,-4.35
6,-5.97
7,-7.51
8,-4.59
9,-4.19
10,-5.13
11,-2.35
12,-1.61